PBE-GGA Co2HgBi, relaxed; DFT formation energy = 0.77 eV per atom; E_tot = -3.829 eV/atom; distance to the lowest polymorph of the same formula = 1.02 eV per formula unit
1.0
7.1791 0.0000 0.0000
0.0000 7.1791 0.0000
0.0000 0.0000 5.8834
Co Hg Bi
8 4 4
Direct
0.2476 0.7500 0.1250 Co
0.2500 0.2476 0.8750 Co
0.2500 0.2524 0.3750 Co
0.2524 0.7500 0.6250 Co
0.7476 0.2500 0.6250 Co
0.7500 0.7476 0.3750 Co
0.7500 0.7524 0.8750 Co
0.7524 0.2500 0.1250 Co
0.0000 0.0000 0.5000 Hg
0.0000 0.5000 0.7500 Hg
0.5000 0.0000 0.2500 Hg
0.5000 0.5000 0.0000 Hg
0.0000 0.0000 0.0000 Bi
0.0000 0.5000 0.2500 Bi
0.5000 0.0000 0.7500 Bi
0.5000 0.5000 0.5000 Bi

---

PBE-GGA CoHg2Bi2, relaxed; DFT formation energy = 0.32 eV per atom; E_tot = -2.778 eV/atom
1.0
6.8406 0.0000 0.0000
0.0000 6.8406 0.0000
0.0000 0.0000 5.7261
Co Hg Bi
2 4 4
Direct
0.0000 0.0000 0.0000 Co
0.5000 0.5000 0.0000 Co
0.1825 0.3175 0.5000 Hg
0.3175 0.8175 0.5000 Hg
0.6825 0.1825 0.5000 Hg
0.8175 0.6825 0.5000 Hg
0.1617 0.6617 0.0000 Bi
0.3383 0.1617 0.0000 Bi
0.6617 0.8383 0.0000 Bi
0.8383 0.3383 0.0000 Bi

---

PBE-GGA CoHg2Bi, relaxed; DFT formation energy = 0.32 eV per atom; E_tot = -2.576 eV/atom
1.0
10.1862 0.0000 0.0000
0.0000 10.1862 0.0000
0.0000 0.0000 4.8626
Co Hg Bi
4 8 4
Direct
0.0000 0.2500 0.3750 Co
0.0000 0.7500 0.6250 Co
0.5000 0.2500 0.1250 Co
0.5000 0.7500 0.8750 Co
0.0000 0.0000 0.5000 Hg
0.0000 0.5000 0.5000 Hg
0.2500 0.2500 0.2500 Hg
0.2500 0.7500 0.7500 Hg
0.5000 0.0000 0.0000 Hg
0.5000 0.5000 0.0000 Hg
0.7500 0.2500 0.2500 Hg
0.7500 0.7500 0.7500 Hg
0.0000 0.2500 0.8750 Bi
0.0000 0.7500 0.1250 Bi
0.5000 0.2500 0.6250 Bi
0.5000 0.7500 0.3750 Bi

---

PBE-GGA Co3HgBi, relaxed; DFT formation energy = 1.39 eV per atom; E_tot = -3.710 eV/atom; distance to the lowest polymorph of the same formula = 0.00 eV per formula unit
1.0
4.7846 0.0000 0.0000
0.0000 4.7846 0.0000
0.0000 0.0000 4.7846
Co Hg Bi
3 1 1
Direct
0.0000 0.0000 0.5000 Co
0.0000 0.5000 0.0000 Co
0.5000 0.0000 0.0000 Co
0.0000 0.0000 0.0000 Hg
0.5000 0.5000 0.5000 Bi